Crystalline SbPdAu at its relaxed geometry. Source: the Alexandria database, functional PBE-GGA.

Output
size of the total moment = 0.00 μB per cell
uncorrected formation energy = -201 meV/atom

abc: 3.8059 5.6116 6.2802
angles: 109.67 107.41 90.10
With the nearest neighbours (Å) after each atom.
Positions (direct):
Sb (0.8091, 0.8185, 0.6201)  4 Pd 2.74-3.00, 2 Au 2.88-2.90
Sb (0.1909, 0.1815, 0.3799)  4 Pd 2.74-3.00, 2 Au 2.88-2.90
Pd (0.1350, 0.6625, 0.2691)  4 Sb 2.74-3.00, 4 Au 2.83-2.87
Pd (0.8650, 0.3375, 0.7309)  4 Sb 2.74-3.00, 4 Au 2.83-2.87
Au (0.5261, 0.2643, 0.0522)  2 Au 2.81-2.93, 4 Pd 2.83-2.87, 2 Sb 2.88-2.90
Au (0.4739, 0.7357, 0.9478)  2 Au 2.81-2.93, 4 Pd 2.83-2.87, 2 Sb 2.88-2.90